TbScNi | PBE-GGA | optimized geometry

Computed properties:
Crystal system = hexagonal
DOS at the Fermi energy = 24.9 states/eV/cell
VASP energy = -5.8114 eV/atom
E_form = -0.230 eV per atom
Total magnetization = 0.00 Bohr magnetons per cell
E above lowest polymorph = 0.18 eV per formula unit
Density = 6.53 g cm⁻³

Cell: 6.386 6.386 11.352 Å, 90.00 90.00 120.00°
Element x y z (fractional)
Ni1 0.613 0.387 0.500
Ni2 0.774 0.387 0.833
Ni3 0.226 0.613 0.833
Ni4 0.387 0.774 0.167
Ni5 0.613 0.226 0.167
Ni6 0.387 0.613 0.500
Tb1 0.000 0.000 0.167
Tb2 0.000 0.500 0.333
Tb3 0.500 0.500 0.000
Tb4 0.000 0.000 0.833
Tb5 0.000 0.000 0.500
Tb6 0.500 0.000 0.667
Sc1 0.500 0.500 0.296
Sc2 0.000 0.500 0.038
Sc3 0.500 0.000 0.962
Sc4 0.500 0.500 0.704
Sc5 0.500 0.000 0.371
Sc6 0.000 0.500 0.629